## NbAu4 (PBE)

Data for a relaxed structure of NbAu4.

It has space group I4/mmm (No. 139), with a = 2.9227 Å, b = 2.9227 Å, c = 21.0441 Å, α = 90.00°, β = 90.00° and γ = 90.00°. The distinct sites, in fractional coordinates, are Nb at (0.0000, 0.0000, 0.0000), Au at (0.0000, 0.0000, 0.1993) and Au at (0.0000, 0.0000, 0.4031).

The calculation puts the formation enthalpy at 0 K at -0.07 eV per atom. The total moment comes out at 0.0 μB per cell. The calculation puts the total energy at -4.709 eV/atom. The volume is 179.76 Å³ per cell.



## YHf2ZrN4 (PBE)

Data for a relaxed structure of YHf2ZrN4.

It has space group Imma (No. 74), with a = 6.5564 Å, b = 6.5714 Å, c = 9.2808 Å, α = 90.00°, β = 90.00° and γ = 90.00°. The distinct sites, in fractional coordinates, are Y at (0.2500, 0.2500, 0.2500), Hf at (0.0000, 0.0000, 0.0000), Hf at (0.2500, 0.2500, 0.7500), Zr at (0.0000, 0.0000, 0.5000), N at (0.0000, 0.0167, 0.7545) and N at (0.2404, 0.2500, 0.9918).

The total moment comes out at 0.0 μB per cell. The calculation puts the uncorrected formation energy at -1.739 eV per atom. The calculation puts the total energy at -10.267 eV/atom. The volume is 399.86 Å³ per cell.



## ZnMoP2 (PBE)

Data for a relaxed structure of ZnMoP2.

It has space group Amm2 (No. 38), with a = 3.4327 Å, b = 3.1487 Å, c = 12.0264 Å, α = 90.00°, β = 90.00° and γ = 90.00°. The distinct sites, in fractional coordinates, are Zn at (0.0000, 0.0000, 0.0000), Mo at (0.5000, 0.0000, 0.2161), P at (0.0000, 0.0000, 0.7989) and P at (0.5000, 0.0000, 0.5620).

The calculation puts the formation enthalpy at 0 K at -0.17 eV per atom. The total moment comes out at 0.0 μB per cell. The calculation puts the total energy at -5.900 eV/atom. The volume is 129.99 Å³ per cell.